Compound: NpCrBO6
Source: Alexandria via LeMat-Bulk
Functional: GGA+U
Structure: optimized geometry

Cell and atoms, written as CIF:
```
data_NpCrBO6
_chemical_formula_sum 'Np2 Cr2 B2 O12'
_space_group_name_H-M_alt 'P -3 1 c'
_space_group_IT_number 163
_space_group_name_Hall '-P 3 2c'
_cell_length_a 4.9139
_cell_length_b 4.9139
_cell_length_c 8.6993
_cell_angle_alpha 90.00
_cell_angle_beta 90.00
_cell_angle_gamma 120.00
loop_
_atom_site_label
_atom_site_type_symbol
_atom_site_fract_x
_atom_site_fract_y
_atom_site_fract_z
Np1 Np 0.3333 0.6667 0.2500
Cr1 Cr 0.0000 0.0000 0.0000
B1 B 0.3333 0.6667 0.7500
O1 O 0.0496 0.3675 0.6335
```

Computed properties:
Crystal system ... trigonal
DFT total energy ... -147.70 eV/cell
Magnetic moment ... 8.000 Bohr magnetons per cell